# 1
Computed, not measured: TaBe2Au after structural relaxation at the PBE level of DFT.

Cell lengths 5.115, 5.115, 5.115 Å; angles 146.74, 132.82, 58.94 degrees
Atoms (fractional coordinates):
Ta (0.000, 0.000, 0.000)
Be (0.522, 0.522, 0.000)
Be (0.724, 0.224, 0.500)
Au (0.278, 0.778, 0.500)

Calculated values
energy of formation	0.117	eV per atom
total energy	-5.528	eV per atom
N(E_F)	2.037	states/eV/cell
polymorph energy (0 for the lowest one)	190	meV per atom

# 2
Computed, not measured: LiAg after structural relaxation at the PBE level of DFT.

Cell lengths 3.313, 3.313, 6.097 Å; angles 90.00, 90.00, 90.00 degrees
Atoms (fractional coordinates):
Li (0.250, 0.250, 0.135)
Li (0.750, 0.750, 0.865)
Ag (0.250, 0.250, 0.641)
Ag (0.750, 0.750, 0.359)

Calculated values
energy of formation	-0.138	eV per atom
total energy	-2.521	eV per atom
N(E_F)	0.749	states/eV/cell